Entry 1:
! Mg5Sc | Alexandria via LeMat-Bulk | GGA-PBEsol | relaxed; values from VASP
&SYSTEM
  ibrav = 0, nat = 6, ntyp = 2
/
ATOMIC_SPECIES
Mg 24.30 Mg.upf
Sc 44.96 Sc.upf
CELL_PARAMETERS angstrom
2.732 1.577 5.293
-2.732 1.577 5.293
0.000 -3.154 5.293
ATOMIC_POSITIONS crystal
Mg 0.000 0.661 0.339
Mg 0.164 0.164 0.164
Mg 0.339 0.000 0.661
Mg 0.661 0.339 0.000
Mg 0.836 0.836 0.836
Sc 0.500 0.500 0.500
! - Energy of formation from the pure elements: 0.13 eV/f.u.
! - Space-group type: R32, No. 155

Entry 2:
! Na4FeO5 | Alexandria via LeMat-Bulk | GGA-PBEsol | relaxed; values from VASP
&SYSTEM
  ibrav = 0, nat = 40, ntyp = 3
/
ATOMIC_SPECIES
Na 22.99 Na.upf
Fe 55.84 Fe.upf
O 16.00 O.upf
CELL_PARAMETERS angstrom
5.567 0.000 0.000
-1.085 9.769 0.000
-1.107 -4.048 8.897
ATOMIC_POSITIONS crystal
Na 0.000 0.000 0.000
Na 0.002 0.402 0.596
Na 0.222 0.135 0.340
Na 0.222 0.345 0.145
Na 0.258 0.956 0.563
Na 0.264 0.564 0.953
Na 0.493 0.305 0.693
Na 0.497 0.104 0.902
Na 0.500 0.500 0.500
Na 0.503 0.896 0.098
Na 0.507 0.695 0.307
Na 0.736 0.436 0.047
Na 0.742 0.044 0.437
Na 0.778 0.655 0.855
Na 0.778 0.865 0.660
Na 0.998 0.598 0.404
Fe 0.014 0.763 0.207
Fe 0.298 0.740 0.719
Fe 0.702 0.260 0.281
Fe 0.986 0.237 0.793
O 0.023 0.347 0.345
O 0.093 0.792 0.051
O 0.097 0.182 0.618
O 0.113 0.596 0.182
O 0.175 0.910 0.775
O 0.296 0.309 0.894
O 0.297 0.895 0.311
O 0.372 0.569 0.727
O 0.386 0.727 0.551
O 0.433 0.152 0.149
O 0.567 0.848 0.851
O 0.614 0.273 0.449
O 0.628 0.431 0.273
O 0.703 0.105 0.689
O 0.704 0.691 0.106
O 0.825 0.090 0.225
O 0.887 0.404 0.818
O 0.903 0.818 0.382
O 0.907 0.208 0.949
O 0.977 0.653 0.655
! - Formation energy without anion corrections: -127.4 kJ/mol of atoms
! - Space-group type: P-1, No. 2

Entry 3:
! BaSn6Ru3 | Alexandria via LeMat-Bulk | GGA-PBEsol | relaxed; values from VASP
&SYSTEM
  ibrav = 0, nat = 20, ntyp = 3
/
ATOMIC_SPECIES
Ba 137.33 Ba.upf
Sn 118.71 Sn.upf
Ru 101.07 Ru.upf
CELL_PARAMETERS angstrom
4.029 -12.994 0.000
4.029 12.994 0.000
0.000 0.000 4.419
ATOMIC_POSITIONS crystal
Ba 0.089 0.911 0.750
Ba 0.911 0.089 0.250
Sn 0.017 0.367 0.750
Sn 0.251 0.749 0.750
Sn 0.257 0.354 0.750
Sn 0.354 0.257 0.250
Sn 0.365 0.635 0.250
Sn 0.367 0.017 0.250
Sn 0.633 0.983 0.750
Sn 0.635 0.365 0.750
Sn 0.646 0.743 0.750
Sn 0.743 0.646 0.250
Sn 0.749 0.251 0.250
Sn 0.983 0.633 0.250
Ru 0.096 0.529 0.250
Ru 0.463 0.537 0.250
Ru 0.471 0.904 0.250
Ru 0.529 0.096 0.750
Ru 0.537 0.463 0.750
Ru 0.904 0.471 0.750
! - Energy of formation from the pure elements: -3.13 eV/f.u.
! - Space-group type: Cmcm, No. 63

Entry 4:
! SrNbS2 | Alexandria via LeMat-Bulk | GGA-PBEsol | relaxed; values from VASP
&SYSTEM
  ibrav = 0, nat = 4, ntyp = 3
/
ATOMIC_SPECIES
Sr 87.62 Sr.upf
Nb 92.91 Nb.upf
S 32.06 S.upf
CELL_PARAMETERS angstrom
1.761 1.017 8.740
-1.761 1.017 8.740
0.000 -2.034 8.740
ATOMIC_POSITIONS crystal
Sr 0.000 0.000 0.000
Nb 0.500 0.500 0.500
S 0.110 0.110 0.110
S 0.890 0.890 0.890
! - Formation energy without anion corrections: -81.4 kJ/mol of atoms
! - Space-group type: R-3m, No. 166

Listing spin magnetization for the structures above in their given order: 0.001 3.729 0.000 0.001 μB/f.u..
Listing DFT total energy for the structures above in their given order: -15.1 -216.0 -122.7 -24.8 eV for the cell shown.